A plane-wave DFT calculation with GGA-PBEsol was carried out for an optimized crystal structure of Ba3P3I2.

Geometry as POSCAR:
```
Ba3P3I2
1.0
17.2166 0.0000 0.0000
0.0000 4.4905 0.0000
0.0000 0.0000 14.0614
Ba P I
12 12 8
Direct
0.1277 0.2500 0.1172
0.1445 0.7500 0.4602
0.1585 0.7500 0.7871
0.3415 0.2500 0.2871
0.3555 0.2500 0.9602
0.3723 0.7500 0.6172
0.6277 0.2500 0.3828
0.6445 0.7500 0.0398
0.6585 0.7500 0.7129
0.8415 0.2500 0.2129
0.8555 0.2500 0.5398
0.8723 0.7500 0.8828
0.2098 0.7500 0.2490
0.2156 0.2500 0.6260
0.2222 0.7500 0.9942
0.2778 0.2500 0.4942
0.2844 0.7500 0.1260
0.2902 0.2500 0.7490
0.7098 0.7500 0.2510
0.7156 0.2500 0.8740
0.7222 0.7500 0.5058
0.7778 0.2500 0.0058
0.7844 0.7500 0.3740
0.7902 0.2500 0.7510
0.0088 0.2500 0.3640
0.0301 0.2500 0.8880
0.4699 0.7500 0.3880
0.4912 0.7500 0.8640
0.5088 0.2500 0.1360
0.5301 0.2500 0.6120
0.9699 0.7500 0.1120
0.9912 0.7500 0.6360
```

Values from the calculation:
- E_form (uncorrected) (meV/atom) = -1258
- crystal system = orthorhombic